No. 1
Density functional theory data (PBE) for a relaxed ScFeB2 crystal.

Computed properties:
Total DFT energy (no corrections) = -7.69 eV/atom
V = 10.2 A^3/atom
Space-group type = Pnma, No. 62
Spin magnetization = 0.69 μB/f.u.
Crystal system = orthorhombic

a b c (Å): 5.5092 5.0130 5.8955
angles (deg): 90.00 90.00 90.00
With the nearest neighbours (Å) after each atom.
Positions (direct):
Sc 0.0055 0.2500 0.1634  8 B 2.45-2.70, 1 Fe 2.71
Sc 0.4945 0.7500 0.6634  8 B 2.45-2.70, 1 Fe 2.71
Sc 0.5055 0.2500 0.3366  8 B 2.45-2.70, 1 Fe 2.71
Sc 0.9945 0.7500 0.8366  8 B 2.45-2.70, 1 Fe 2.71
Fe 0.1783 0.2500 0.6791  6 B 2.10-2.12
Fe 0.3217 0.7500 0.1791  6 B 2.10-2.12
Fe 0.6783 0.2500 0.8209  6 B 2.10-2.12
Fe 0.8217 0.7500 0.3209  6 B 2.10-2.12
B 0.1393 0.5777 0.4595  2 B 1.73-1.79
B 0.1393 0.9223 0.4595  2 B 1.73-1.79
B 0.3607 0.0777 0.9595  2 B 1.73-1.79
B 0.3607 0.4223 0.9595  2 B 1.73-1.79
B 0.6393 0.5777 0.0405  2 B 1.73-1.79
B 0.6393 0.9223 0.0405  2 B 1.73-1.79
B 0.8607 0.0777 0.5405  2 B 1.73-1.79
B 0.8607 0.4223 0.5405  2 B 1.73-1.79

=====

No. 2
Density functional theory data (PBE) for a relaxed ScFe10B3 crystal.

Computed properties:
Total DFT energy (no corrections) = -8.13 eV/atom
V = 10.9 A^3/atom
Space-group type = Fm-3m, No. 225
Spin magnetization = 20.27 μB/f.u.
Crystal system = cubic

a b c (Å): 7.5685 7.5685 7.5685
angles (deg): 60.00 60.00 60.00
With the nearest neighbours (Å) after each atom.
Positions (direct):
Sc 0.2500 0.2500 0.2500  4 Fe 2.53
Sc 0.7500 0.7500 0.7500  4 Fe 2.53
Fe 0.0000 0.0000 0.3367  2 B 2.12
Fe 0.0000 0.0000 0.6633  2 B 2.12
Fe 0.0000 0.3367 0.0000  2 B 2.12
Fe 0.0000 0.3367 0.6633  2 B 2.12
Fe 0.0000 0.6633 0.0000  2 B 2.12
Fe 0.0000 0.6633 0.3367  2 B 2.12
Fe 0.1590 0.6137 0.6137  3 B 2.11
Fe 0.3367 0.0000 0.0000  2 B 2.12
Fe 0.3367 0.0000 0.6633  2 B 2.12
Fe 0.3367 0.6633 0.0000  2 B 2.12
Fe 0.3863 0.3863 0.3863  3 B 2.11
Fe 0.3863 0.3863 0.8410  3 B 2.11
Fe 0.3863 0.8410 0.3863  3 B 2.11
Fe 0.6137 0.1590 0.6137  3 B 2.11
Fe 0.6137 0.6137 0.1590  3 B 2.11
Fe 0.6137 0.6137 0.6137  3 B 2.11
Fe 0.6633 0.0000 0.0000  2 B 2.12
Fe 0.6633 0.0000 0.3367  2 B 2.12
Fe 0.6633 0.3367 0.0000  2 B 2.12
Fe 0.8410 0.3863 0.3863  3 B 2.11
B 0.2728 0.2728 0.7272  8 Fe 2.11-2.12
B 0.2728 0.7272 0.2728  8 Fe 2.11-2.12
B 0.2728 0.7272 0.7272  8 Fe 2.11-2.12
B 0.7272 0.2728 0.2728  8 Fe 2.11-2.12
B 0.7272 0.2728 0.7272  8 Fe 2.11-2.12
B 0.7272 0.7272 0.2728  8 Fe 2.11-2.12

=====

No. 3
Density functional theory data (PBE) for a relaxed Sc2FeB crystal.

Computed properties:
Total DFT energy (no corrections) = -6.52 eV/atom
V = 16.1 A^3/atom
Space-group type = I-42d, No. 122
Spin magnetization = 2.25 μB/f.u.
Crystal system = tetragonal

a b c (Å): 5.5929 5.5929 5.5929
angles (deg): 102.99 102.99 123.39
With the nearest neighbours (Å) after each atom.
Positions (direct):
Sc 0.0759 0.6250 0.9509  2 B 2.33
Sc 0.3750 0.3259 0.4509  2 B 2.33
Sc 0.6741 0.1250 0.0491  2 B 2.33
Sc 0.8750 0.9241 0.5491  2 B 2.33
Fe 0.2500 0.7500 0.5000  2 B 2.65, 4 Sc 2.79
Fe 0.5000 0.5000 0.0000  2 B 2.65, 4 Sc 2.79
B 0.0000 0.0000 0.0000  4 Sc 2.33
B 0.7500 0.2500 0.5000  4 Sc 2.33

=====

No. 4
Density functional theory data (PBE) for a relaxed ScFeB2 crystal.

Computed properties:
Total DFT energy (no corrections) = -7.22 eV/atom
V = 12.2 A^3/atom
Space-group type = I4_1/amd, No. 141
Spin magnetization = 0.00 μB/f.u.
Crystal system = tetragonal

a b c (Å): 7.0452 7.0452 7.0452
angles (deg): 148.03 148.03 45.84
With the nearest neighbours (Å) after each atom.
Positions (direct):
Sc 0.3750 0.6250 0.7500  8 B 2.71, 4 Fe 2.74
Sc 0.6250 0.3750 0.2500  8 B 2.71, 4 Fe 2.74
Fe 0.1250 0.8750 0.2500  4 B 1.89
Fe 0.8750 0.1250 0.7500  4 B 1.89
B 0.0000 0.0000 0.0000  2 Fe 1.89, 2 B 1.94
B 0.0000 0.0000 0.5000  2 Fe 1.89, 2 B 1.94
B 0.0000 0.5000 0.0000  2 Fe 1.89, 2 B 1.94
B 0.5000 0.0000 0.5000  2 Fe 1.89, 2 B 1.94

=====

No. 5
Density functional theory data (PBE) for a relaxed ScFe3B crystal.

Computed properties:
Total DFT energy (no corrections) = -7.22 eV/atom
V = 13.5 A^3/atom
Space-group type = Cmcm, No. 63
Spin magnetization = 2.67 μB/f.u.
Crystal system = orthorhombic

a b c (Å): 7.3013 7.3013 4.7941
angles (deg): 90.00 90.00 148.01
With the nearest neighbours (Å) after each atom.
Positions (direct):
Sc 0.1811 0.8189 0.7500  8 Fe 2.71-2.85
Sc 0.8189 0.1811 0.2500  8 Fe 2.71-2.85
Fe 0.0000 0.0000 0.0000  4 B 2.35, 6 Fe 2.39-2.40
Fe 0.0000 0.0000 0.5000  4 B 2.35, 6 Fe 2.39-2.40
Fe 0.1285 0.3843 0.7500  2 Fe 1.96-2.06, 1 B 2.16
Fe 0.3843 0.1285 0.2500  2 Fe 1.96-2.06, 1 B 2.16
Fe 0.6157 0.8715 0.7500  2 Fe 1.96-2.06, 1 B 2.16
Fe 0.8715 0.6157 0.2500  2 Fe 1.96-2.06, 1 B 2.16
B 0.4906 0.5094 0.2500  6 Fe 2.16-2.35, 2 B 2.41
B 0.5094 0.4906 0.7500  6 Fe 2.16-2.35, 2 B 2.41

=====

No. 6
Density functional theory data (PBE) for a relaxed Sc2Fe5SiB2 crystal.

Computed properties:
V = 11.1 A^3/atom
Space-group type = P4/mbm, No. 127
Spin magnetization = 2.70 μB/f.u.
Formation energy from raw total energies = -0.4415 eV per atom
Crystal system = tetragonal

a b c (Å): 8.7513 8.7513 2.8884
angles (deg): 90.00 90.00 90.00
With the nearest neighbours (Å) after each atom.
Positions (direct):
Sc 0.1753 0.3247 0.0000  3 B 2.50-2.65, 10 Fe 2.61-2.74
Sc 0.3247 0.8247 0.0000  3 B 2.50-2.65, 10 Fe 2.61-2.74
Sc 0.6753 0.1753 0.0000  3 B 2.50-2.65, 10 Fe 2.61-2.74
Sc 0.8247 0.6753 0.0000  3 B 2.50-2.65, 10 Fe 2.61-2.74
Fe 0.0000 0.5000 0.5000  4 B 2.09
Fe 0.0667 0.7861 0.5000  2 B 2.09
Fe 0.2139 0.0667 0.5000  2 B 2.09
Fe 0.2861 0.5667 0.5000  2 B 2.09
Fe 0.4333 0.2861 0.5000  2 B 2.09
Fe 0.5000 0.0000 0.5000  4 B 2.09
Fe 0.5667 0.7139 0.5000  2 B 2.09
Fe 0.7139 0.4333 0.5000  2 B 2.09
Fe 0.7861 0.9333 0.5000  2 B 2.09
Fe 0.9333 0.2139 0.5000  2 B 2.09
Si 0.0000 0.0000 0.0000  8 Fe 2.44
Si 0.5000 0.5000 0.0000  8 Fe 2.44
B 0.1223 0.6223 0.0000  6 Fe 2.09
B 0.3777 0.1223 0.0000  6 Fe 2.09
B 0.6223 0.8777 0.0000  6 Fe 2.09
B 0.8777 0.3777 0.0000  6 Fe 2.09

=====

No. 7
Density functional theory data (PBE) for a relaxed Sc2Fe5SnB2 crystal.

Computed properties:
Total DFT energy (no corrections) = -7.56 eV/atom
V = 12.3 A^3/atom
Space-group type = P4/mbm, No. 127
Spin magnetization = 5.19 μB/f.u.
Crystal system = tetragonal

a b c (Å): 8.8460 8.8460 3.1509
angles (deg): 90.00 90.00 90.00
With the nearest neighbours (Å) after each atom.
Positions (direct):
Sc 0.1766 0.3234 0.0000  3 B 2.56-2.66, 10 Fe 2.71-2.81
Sc 0.3234 0.8234 0.0000  3 B 2.56-2.66, 10 Fe 2.71-2.81
Sc 0.6766 0.1766 0.0000  3 B 2.56-2.66, 10 Fe 2.71-2.81
Sc 0.8234 0.6766 0.0000  3 B 2.56-2.66, 10 Fe 2.71-2.81
Fe 0.0000 0.5000 0.5000  4 B 2.16
Fe 0.0693 0.7683 0.5000  2 B 2.10
Fe 0.2317 0.0693 0.5000  2 B 2.10
Fe 0.2683 0.5693 0.5000  2 B 2.10
Fe 0.4307 0.2683 0.5000  2 B 2.10
Fe 0.5000 0.0000 0.5000  4 B 2.16
Fe 0.5693 0.7317 0.5000  2 B 2.10
Fe 0.7317 0.4307 0.5000  2 B 2.10
Fe 0.7683 0.9307 0.5000  2 B 2.10
Fe 0.9307 0.2317 0.5000  2 B 2.10
Sn 0.0000 0.0000 0.0000  8 Fe 2.66
Sn 0.5000 0.5000 0.0000  8 Fe 2.66
B 0.1185 0.6185 0.0000  6 Fe 2.10-2.16
B 0.3815 0.1185 0.0000  6 Fe 2.10-2.16
B 0.6185 0.8815 0.0000  6 Fe 2.10-2.16
B 0.8815 0.3815 0.0000  6 Fe 2.10-2.16

=====

No. 8
Density functional theory data (PBE) for a relaxed Sc2TaFe5B2 crystal.

Computed properties:
Total DFT energy (no corrections) = -8.37 eV/atom
V = 11.9 A^3/atom
Space-group type = P4/mbm, No. 127
Spin magnetization = 2.33 μB/f.u.
Crystal system = tetragonal

a b c (Å): 8.9574 8.9574 2.9605
angles (deg): 90.00 90.00 90.00
With the nearest neighbours (Å) after each atom.
Positions (direct):
Sc 0.1760 0.3240 0.0000  3 B 2.60-2.69, 10 Fe 2.68-2.79
Sc 0.3240 0.8240 0.0000  3 B 2.60-2.69, 10 Fe 2.68-2.79
Sc 0.6760 0.1760 0.0000  3 B 2.60-2.69, 10 Fe 2.68-2.79
Sc 0.8240 0.6760 0.0000  3 B 2.60-2.69, 10 Fe 2.68-2.79
Ta 0.0000 0.0000 0.0000  8 Fe 2.57
Ta 0.5000 0.5000 0.0000  8 Fe 2.57
Fe 0.0000 0.5000 0.5000  4 B 2.11
Fe 0.0683 0.7762 0.5000  2 B 2.09
Fe 0.2238 0.0683 0.5000  2 B 2.09
Fe 0.2762 0.5683 0.5000  2 B 2.09
Fe 0.4317 0.2762 0.5000  2 B 2.09
Fe 0.5000 0.0000 0.5000  4 B 2.11
Fe 0.5683 0.7238 0.5000  2 B 2.09
Fe 0.7238 0.4317 0.5000  2 B 2.09
Fe 0.7762 0.9317 0.5000  2 B 2.09
Fe 0.9317 0.2238 0.5000  2 B 2.09
B 0.1188 0.6188 0.0000  6 Fe 2.09-2.11
B 0.3812 0.1188 0.0000  6 Fe 2.09-2.11
B 0.6188 0.8812 0.0000  6 Fe 2.09-2.11
B 0.8812 0.3812 0.0000  6 Fe 2.09-2.11

=====

Q: Number 6 is which compound?
A: Sc2Fe5SiB2

=====

Q: Look up the V of the seventh one.
A: 12.3 A^3/atom

=====

Q: The lowest V belongs to which entry?
A: number 1